A plane-wave DFT calculation with PBEsol was carried out for RbHfTc2F after structural relaxation.

Lattice parameters (Å, degrees): 4.683 4.683 8.167 90.00 90.00 90.00
Positions (direct):
Hf (0.000, 0.000, 0.000)
Tc (0.000, 0.500, 0.000)
Tc (0.500, 0.000, 0.000)
Rb (0.000, 0.000, 0.500)
F (0.500, 0.500, 0.500)

Summary:
Total moment: 3.5 Bohr magnetons per cell
Energy relative to the elements, uncorrected: 1.243 eV/atom


A plane-wave DFT calculation with PBEsol was carried out for InBiAs3 after structural relaxation.

Lattice parameters (Å, degrees): 5.107 5.107 5.107 90.00 90.00 90.00
Positions (direct):
As (0.000, 0.500, 0.000)
As (0.000, 0.000, 0.500)
As (0.500, 0.000, 0.000)
Bi (0.500, 0.500, 0.500)
In (0.000, 0.000, 0.000)

Summary:
Total moment: 0.0 Bohr magnetons per cell
Energy of formation: 75 kJ/mol of atoms


A plane-wave DFT calculation with PBEsol was carried out for HfReP2S after structural relaxation.

Lattice parameters (Å, degrees): 4.454 4.454 4.842 90.00 90.00 90.00
Positions (direct):
Re (0.000, 0.000, 0.000)
S (0.000, 0.000, 0.500)
Hf (0.500, 0.500, 0.500)
P (0.000, 0.500, 0.000)
P (0.500, 0.000, 0.000)

Summary:
Total moment: 0.0 Bohr magnetons per cell
Energy relative to the elements, uncorrected: 0.510 eV/atom


A plane-wave DFT calculation with PBEsol was carried out for ReTeRu2 after structural relaxation.

Lattice parameters (Å, degrees): 2.908 3.737 5.718 90.00 89.99 90.00
Positions (direct):
Re (0.500, 0.500, 0.500)
Ru (0.000, 0.000, 0.728)
Ru (0.000, 0.000, 0.272)
Te (0.500, 0.500, 0.000)

Summary:
Total moment: 0.0 Bohr magnetons per cell
Energy relative to the elements, uncorrected: 0.410 eV/atom


A plane-wave DFT calculation with PBEsol was carried out for CuPt after structural relaxation.

Lattice parameters (Å, degrees): 2.730 4.406 4.483 90.00 90.00 90.00
Positions (direct):
Cu (0.000, 0.440, 0.000)
Cu (0.500, 0.560, 0.500)
Pt (0.000, 0.059, 0.500)
Pt (0.500, 0.941, 0.000)

Summary:
Total moment: 0.0 Bohr magnetons per cell
Energy of formation: -8 kJ/mol of atoms


A plane-wave DFT calculation with PBEsol was carried out for WNCl2 after structural relaxation.

Lattice parameters (Å, degrees): 3.077 3.077 9.388 80.57 80.57 60.00
Positions (direct):
N (0.500, 0.500, 0.500)
W (0.000, 0.000, 0.000)
Cl (0.920, 0.920, 0.240)
Cl (0.080, 0.080, 0.760)

Summary:
Total moment: 2.5 Bohr magnetons per cell
Energy relative to the elements, uncorrected: 1.350 eV/atom